A plane-wave DFT calculation with PBEsol was carried out for an optimized crystal structure of BaCaC2O6.

The space group is P321 (No. 150) and the conventional cell measures 8.6783, 8.6783 and 6.0894 Å, with angles of 90.00, 90.00 and 120.00 degrees. Symmetry generates all atoms from Ba at (0.0000, 0.3123, 0.0000), Ca at (0.0000, 0.6387, 0.5000), C at (0.0000, 0.0000, 0.2655), C at (0.3333, 0.6667, 0.1841), C at (0.3333, 0.6667, 0.6444), O at (0.0042, 0.8531, 0.2587), O at (0.1779, 0.6539, 0.1811) and O at (0.1889, 0.5129, 0.6404).

As for the total DFT energy (no corrections): -233.564 eV/cell. For the density of states at the Fermi level, the calculation gives 0.000 states/eV/atom. Its polymorph energy (0 for the lowest one) is 0.003 eV per atom. As for the uncorrected formation energy: -2.279 eV/atom. The calculated volume comes out at 132.4 Å³/f.u. The calculation puts the spin magnetization at 0.00 μB per atom.


A plane-wave DFT calculation with PBEsol was carried out for an optimized crystal structure of CaBi2Pt2.

The space group is I4/mmm (No. 139) and the conventional cell measures 4.9808, 4.9808 and 9.9338 Å, with angles of 90.00, 90.00 and 90.00 degrees. Symmetry generates all atoms from Ca at (0.0000, 0.0000, 0.0000), Bi at (0.0000, 0.5000, 0.2500) and Pt at (0.0000, 0.0000, 0.3699).

As for the formation enthalpy at 0 K: -395 meV per atom. As for the total DFT energy (no corrections): -53.216 eV/cell. For the density of states at the Fermi level, the calculation gives 0.362 states/eV/atom. The calculated volume comes out at 123.2 Å³/f.u. The calculation puts the spin magnetization at 0.00 μB per atom.


Among the records above, which one has the lowest calculated volume?
CaBi2Pt2


What is the total DFT energy (no corrections) in the second record?
-53.216 eV/cell